The following is a DFT calculation (GGA+U) of a relaxed structure of KGdV4O12.

Computed properties:
DFT total energy: -141.98 eV per formula unit
Total moment: 6.99 μB per formula unit

The structure in CIF format:
```
data_KGdV4O12
_chemical_formula_sum 'K1 Gd1 V4 O12'
_cell_length_a 6.219
_cell_length_b 6.219
_cell_length_c 7.222
_cell_angle_alpha 90.00
_cell_angle_beta 90.00
_cell_angle_gamma 111.50
_space_group_name_H-M_alt 'P 1'
_space_group_IT_number 1
_space_group_name_Hall 'P 1'
loop_
_atom_site_label
_atom_site_fract_x
_atom_site_fract_y
_atom_site_fract_z
K1 0.019 0.981 0.500
Gd1 0.575 0.425 0.000
V1 0.049 0.468 0.754
V2 0.049 0.468 0.246
V3 0.532 0.951 0.246
V4 0.532 0.951 0.754
O1 0.227 0.329 0.801
O2 0.671 0.773 0.801
O3 0.671 0.773 0.199
O4 0.227 0.329 0.199
O5 0.729 0.271 0.765
O6 0.226 0.774 0.720
O7 0.226 0.774 0.280
O8 0.729 0.271 0.235
O9 0.986 0.545 0.000
O10 0.021 0.430 0.500
O11 0.455 0.014 0.000
O12 0.570 0.979 0.500
```